Here is a relaxed Ac2VWO8 crystal from the Alexandria database. Energies are from PBE+U.

Calculated values
Total energy ... -7.87 eV per atom

Cell and atoms, written as POSCAR:
```
Ac2VWO8
1.0
5.533 0.000 0.000
1.401 5.909 0.000
2.268 0.826 5.714
Ac V W O
2 1 1 8
Direct
0.114 0.189 0.157
0.886 0.811 0.843
0.500 0.000 0.500
0.500 0.500 0.500
0.254 0.482 0.815
0.280 0.980 0.811
0.284 0.805 0.431
0.305 0.318 0.420
0.695 0.682 0.580
0.716 0.195 0.569
0.720 0.020 0.189
0.746 0.518 0.185
```